(1)
First-principles (PBE-GGA) data for a relaxed structure of Ni2CI, as listed in the Alexandria database.

Symmetry   P1
Energy above the lowest structure with this stoichiometry   0.053 eV per atom
Uncorrected formation energy   0.28 eV per atom

Lattice parameters (Å, degrees): 3.8962 3.9056 9.9153 99.18 94.90 112.00
With the nearest neighbours (Å) after each atom.
Fractional positions:
Ni 0.0000 0.0000 0.0000  2 C 1.92-1.93
Ni 0.1167 0.6593 0.7780  2 C 2.02
Ni 0.4564 0.6886 0.1461  2 C 1.99-2.00
Ni 0.6006 0.3322 0.9327  2 C 1.91-1.92
C 0.1350 0.4963 0.9604  1 C 1.44
C 0.4624 0.8285 0.9617  1 C 1.44
I 0.1599 0.1222 0.2838  4 Ni 2.66-2.75
I 0.7070 0.9261 0.6367  3 Ni 2.63-2.76

(2)
First-principles (PBE-GGA) data for a relaxed structure of BaInSe2, as listed in the Alexandria database.

Symmetry   R3m
Uncorrected formation energy   -1.06 eV per atom

Lattice parameters (Å, degrees): 7.8867 7.8867 7.8867 32.59 32.59 32.59
With the nearest neighbours (Å) after each atom.
Fractional positions:
Ba 0.0000 0.0000 0.0000  6 Se 3.29-3.31
In 0.1681 0.1681 0.1681  6 Se 3.01-3.06
Se 0.5726 0.5726 0.5726  3 In 3.01, 3 Ba 3.31
Se 0.7592 0.7592 0.7592  3 In 3.06, 3 Ba 3.29

(3)
First-principles (PBE-GGA) data for a relaxed structure of BaInBr2, as listed in the Alexandria database.

Symmetry   R-3m
Energy above the lowest structure with this stoichiometry   0.029 eV per atom
Uncorrected formation energy   -1.22 eV per atom

Lattice parameters (Å, degrees): 10.7511 10.7511 10.7511 25.26 25.26 25.26
With the nearest neighbours (Å) after each atom.
Fractional positions:
Ba 0.0000 0.0000 0.0000  6 Br 3.22
In 0.5000 0.5000 0.5000  6 Br 4.41, 6 In 4.70
Br 0.2779 0.2779 0.2779  3 Ba 3.22
Br 0.7221 0.7221 0.7221  3 Ba 3.22

(4)
First-principles (PBE-GGA) data for a relaxed structure of TaTl3Br, as listed in the Alexandria database.

Symmetry   Pm-3m
Energy above the lowest structure with this stoichiometry   0.000 eV per atom
Uncorrected formation energy   0.54 eV per atom

Lattice parameters (Å, degrees): 5.6270 5.6270 5.6270 90.00 90.00 90.00
With the nearest neighbours (Å) after each atom.
Fractional positions:
Ta 0.0000 0.0000 0.0000  6 Tl 2.81
Tl 0.0000 0.0000 0.5000  2 Ta 2.81
Tl 0.0000 0.5000 0.0000  2 Ta 2.81
Tl 0.5000 0.0000 0.0000  2 Ta 2.81
Br 0.5000 0.5000 0.5000  12 Tl 3.98

What calculated total energy values result from the calculations? In sequence: -5.3013, -3.9656, -3.2235, -3.5801 eV per atom.